# 1
A plane-wave DFT calculation with PBE was carried out for crystalline Nd2SiNi3 at its relaxed geometry.

Results
Formation energy from raw total energies = -284.1 kJ/mol of formula units
Density of states at the Fermi level = 0.696 states/eV per atom
Total DFT energy (no corrections) = -5.874 eV/atom
Total magnetic moment = 0.0 μB per cell
Volume = 19.118 A^3/atom

a = 8.1106 Å, b = 8.0922 Å, c = 5.7164 Å
α = 69.51°, β = 69.17°, γ = 41.32°
Atoms (fractional coordinates):
1 Nd 0.2424 0.7576 0.7576
2 Nd 0.2500 0.2500 0.2500
3 Nd 0.7500 0.7500 0.7500
4 Nd 0.7576 0.2424 0.2424
5 Si 0.3341 0.3341 0.6659
6 Si 0.6659 0.6659 0.3341
7 Ni 0.1700 0.1700 0.8300
8 Ni 0.1705 0.6598 0.3402
9 Ni 0.3402 0.8295 0.1705
10 Ni 0.6598 0.1705 0.8295
11 Ni 0.8295 0.3402 0.6598
12 Ni 0.8300 0.8300 0.1700


# 2
A plane-wave DFT calculation with PBE was carried out for crystalline LaHoTh2Bi4 at its relaxed geometry.

Results
Density of states at the Fermi level = 0.456 states/eV per atom
Total DFT energy (no corrections) = -5.735 eV/atom
Total magnetic moment = 0.0 μB per cell
Volume = 34.232 A^3/atom
Formation enthalpy at 0 K = -0.75 eV per atom

a = 7.9472 Å, b = 7.9472 Å, c = 7.9472 Å
α = 131.73°, β = 131.73°, γ = 70.66°
Atoms (fractional coordinates):
1 La 0.0000 0.0000 0.0000
2 Ho 0.2500 0.7500 0.5000
3 Th 0.5000 0.5000 0.0000
4 Th 0.7500 0.2500 0.5000
5 Bi 0.0032 0.5032 0.5000
6 Bi 0.2515 0.2515 0.0000
7 Bi 0.4968 0.9968 0.5000
8 Bi 0.7485 0.7485 0.0000